Entry from Alexandria via LeMat-Bulk: a geometry-optimized NaMgWF6 structure (GGA+U).

```
18
Lattice="5.531 0.000 0.000 -2.765 4.790 0.000 0.000 0.000 9.577" Properties=species:S:1:pos:R:3 pbc="T T T"
Na 0.000 0.000 0.000
Na 0.000 0.000 4.788
Mg 0.000 3.193 2.394
Mg 2.765 1.597 7.183
W 0.000 3.193 7.183
W 2.765 1.597 2.394
F -0.923 1.728 1.342
F -1.730 3.126 3.446
F 0.923 1.728 3.446
F -0.807 4.725 1.342
F 1.958 0.065 6.131
F 1.035 1.664 8.235
F 1.730 3.126 1.342
F 0.807 4.725 3.446
F 3.572 0.065 8.235
F 1.842 3.061 6.131
F 4.495 1.664 6.131
F 3.688 3.061 8.235
```

Results
* ρ: 4.52 g cm⁻³
* E_tot: -5.319 eV per atom
* spin magnetization: 0.333 μB per atom